## a
Here is crystalline CaSc2Pt2 at its relaxed geometry from the Alexandria database. Energies are from PBE-GGA.

a b c (Å): 7.818 7.818 3.442
angles (deg): 90.00 90.00 90.00
Space group P4/mbm (No. 127)
Symmetry-distinct sites (fractional):
Ca 0.000 0.000 0.000 x2
Sc 0.147 0.353 0.500 x4
Pt 0.141 0.641 0.000 x4

total moment	0.0	μB/cell



## b
Here is crystalline CaSc2Pt2 at its relaxed geometry from the Alexandria database. Energies are from PBE-GGA.

a b c (Å): 8.142 8.142 3.027
angles (deg): 90.00 90.00 90.00
Space group P4/mbm (No. 127)
Symmetry-distinct sites (fractional):
Ca 0.000 0.000 0.000 x2
Sc 0.136 0.364 0.000 x4
Pt 0.159 0.659 0.500 x4

total moment	0.0	μB/cell



Ordering by calculated energy gives the sequence a, b, with the first entry being the most stable.